Entry 1:
DFT (PBEsol) results for an optimized crystal structure of TeCSeBr2.

Properties
The calculation puts the spin magnetization at 0.337 μB per atom. As for the density of states at the Fermi level: 6.83 states/eV per cell. Its uncorrected formation energy is 1.617 eV per atom. The density is 4.0 g cm⁻³. The uncorrected energy comes out at -2.535 eV/atom.

abc: 5.464 5.464 5.319
angles: 90.00 90.00 90.00
Sites, in units of the cell vectors:
Te (0.000, 0.000, 0.000)
C (0.500, 0.500, 0.500)
Se (0.000, 0.000, 0.500)
Br (0.000, 0.500, 0.000)
Br (0.500, 0.000, 0.000)

---

Entry 2:
DFT (PBEsol) results for an optimized crystal structure of HoInIr.

Properties
The calculation puts the spin magnetization at 0.000 μB per atom. As for the density of states at the Fermi level: 6.24 states/eV per cell. The density is 12.8 g cm⁻³. The uncorrected energy comes out at -6.631 eV/atom. For the formation energy from the elements, the calculation gives -0.712 eV/atom.

abc: 7.376 7.376 3.892
angles: 90.00 90.00 120.00
Sites, in units of the cell vectors:
Ho (0.000, 0.406, 0.000)
Ho (0.406, 0.000, 0.000)
Ho (0.594, 0.594, 0.000)
In (0.000, 0.742, 0.500)
In (0.258, 0.258, 0.500)
In (0.742, 0.000, 0.500)
Ir (0.000, 0.000, 0.000)
Ir (0.333, 0.667, 0.500)
Ir (0.667, 0.333, 0.500)

---

Entry 3:
DFT (PBEsol) results for an optimized crystal structure of Mg2MoAs.

Properties
The calculation puts the spin magnetization at 0.000 μB per atom. As for the density of states at the Fermi level: 1.16 states/eV per cell. The density is 5.2 g cm⁻³. The uncorrected energy comes out at -5.014 eV/atom. For the formation energy from the elements, the calculation gives 0.063 eV/atom.

abc: 4.582 5.556 5.556
angles: 29.52 90.00 90.00
Sites, in units of the cell vectors:
Mg (0.000, 0.000, 0.000)
Mg (0.500, 0.356, 0.356)
Mo (0.000, 0.737, 0.737)
As (0.500, 0.627, 0.627)